An optimized crystal structure of TlPbIBr2. Source: Alexandria via LeMat-Bulk, functional PBE.

It has space group P4/mmm (No. 123), with a = 5.907 Å, b = 5.907 Å, c = 6.386 Å, α = 90.00°, β = 90.00° and γ = 90.00°. The distinct sites, in fractional coordinates, are Tl at (0.000, 0.000, 0.000), Pb at (0.500, 0.500, 0.500), I at (0.500, 0.500, 0.000) and Br at (0.000, 0.500, 0.500).

Its crystal system is tetragonal. Its energy relative to the elements, uncorrected is -0.712 eV/atom.


An optimized crystal structure of Hf6Zr3N. Source: Alexandria via LeMat-Bulk, functional PBE.

It has space group Cmc2_1 (No. 36), with a = 9.738 Å, b = 16.744 Å, c = 5.128 Å, α = 90.00°, β = 90.00° and γ = 90.00°. The distinct sites, in fractional coordinates, are Hf at (0.000, 0.058, 0.000), Hf at (0.000, 0.276, 0.505), Hf at (0.165, 0.221, 0.001), Hf at (0.166, 0.444, 0.506), Zr at (0.000, 0.391, 0.007), Zr at (0.165, 0.110, 0.504) and N at (0.000, 0.168, 0.757).

The density of states at the Fermi level comes out at 7.60 states/eV/f.u. Its crystal system is orthorhombic. Its energy relative to the elements, uncorrected is -0.380 eV/atom.


An optimized crystal structure of TbNd2Ho9. Source: Alexandria via LeMat-Bulk, functional PBE.

It has space group P4/mmm (No. 123), with a = 5.023 Å, b = 5.023 Å, c = 15.070 Å, α = 90.00°, β = 90.00° and γ = 90.00°. The distinct sites, in fractional coordinates, are Tb at (0.000, 0.000, 0.000), Nd at (0.000, 0.000, 0.333), Ho at (0.000, 0.500, 0.165), Ho at (0.000, 0.500, 0.500), Ho at (0.500, 0.500, 0.000) and Ho at (0.500, 0.500, 0.332).

The energy relative to the elements is 0.0223 eV/atom. The density of states at the Fermi level comes out at 17.01 states/eV/f.u. Its crystal system is tetragonal.


An optimized crystal structure of DyYCu2Si2. Source: Alexandria via LeMat-Bulk, functional PBE.

It has space group P-3m1 (No. 164), with a = 4.1565 Å, b = 4.1565 Å, c = 7.4695 Å, α = 90.00°, β = 90.00° and γ = 120.00°. The distinct sites, in fractional coordinates, are Dy at (0.0000, 0.0000, 0.0000), Y at (0.0000, 0.0000, 0.5000), Cu at (0.3333, 0.6667, 0.7519) and Si at (0.3333, 0.6667, 0.2491).

The density of states at the Fermi level comes out at 1.70 states/eV/f.u. Its crystal system is trigonal. Its energy relative to the elements, uncorrected is -0.677 eV/atom.


An optimized crystal structure of PrCuAu2. Source: Alexandria via LeMat-Bulk, functional PBE.

It has space group Fm-3m (No. 225), with a = 6.999 Å, b = 6.999 Å, c = 6.999 Å, α = 90.00°, β = 90.00° and γ = 90.00°. The distinct sites, in fractional coordinates, are Pr at (0.000, 0.000, 0.000), Cu at (0.000, 0.000, 0.500) and Au at (0.250, 0.250, 0.250).

The energy relative to the elements is -0.4283 eV/atom. The density of states at the Fermi level comes out at 1.95 states/eV/f.u. Its crystal system is cubic.


An optimized crystal structure of PmTlSi2. Source: Alexandria via LeMat-Bulk, functional PBE.

It has space group P4/mmm (No. 123), with a = 4.562 Å, b = 4.562 Å, c = 4.230 Å, α = 90.00°, β = 90.00° and γ = 90.00°. The distinct sites, in fractional coordinates, are Pm at (0.000, 0.000, 0.000), Tl at (0.500, 0.500, 0.000) and Si at (0.000, 0.500, 0.500).

The density of states at the Fermi level comes out at 2.27 states/eV/f.u. Its crystal system is tetragonal. Its energy relative to the elements, uncorrected is -0.103 eV/atom.


An optimized crystal structure of Ac3Ag2Pt7. Source: Alexandria via LeMat-Bulk, functional PBE.

It has space group R-3m (No. 166, hexagonal axes), with a = 5.6363 Å, b = 5.6363 Å, c = 27.3523 Å, α = 90.00°, β = 90.00° and γ = 120.00°. The distinct sites, in fractional coordinates, are Ac at (0.0000, 0.0000, 0.0000), Ac at (0.0000, 0.0000, 0.1390), Ag at (0.0000, 0.0000, 0.3335), Pt at (0.0000, 0.0000, 0.5000) and Pt at (0.0031, 0.5016, 0.9157).

The energy relative to the elements is -0.8161 eV/atom. The density of states at the Fermi level comes out at 5.77 states/eV/f.u. Its crystal system is trigonal.


An optimized crystal structure of La2Al2Sn. Source: Alexandria via LeMat-Bulk, functional PBE.

It has space group P4/mbm (No. 127), with a = 7.511 Å, b = 7.511 Å, c = 4.800 Å, α = 90.00°, β = 90.00° and γ = 90.00°. The distinct sites, in fractional coordinates, are La at (0.172, 0.328, 0.000), Al at (0.124, 0.624, 0.500) and Sn at (0.000, 0.000, 0.500).

The energy relative to the elements is -0.5193 eV/atom. The density of states at the Fermi level comes out at 2.92 states/eV/f.u. Its crystal system is tetragonal.


An optimized crystal structure of MnBeRe2. Source: Alexandria via LeMat-Bulk, functional PBE.

It has space group Cmm2 (No. 35), with a = 3.089 Å, b = 4.275 Å, c = 7.824 Å, α = 90.00°, β = 90.00° and γ = 90.00°. The distinct sites, in fractional coordinates, are Mn at (0.000, 0.000, 0.000), Be at (0.000, 0.500, 0.782), Re at (0.000, 0.000, 0.546) and Re at (0.000, 0.500, 0.258).

The energy relative to the elements is 0.1874 eV/atom. The density of states at the Fermi level comes out at 2.81 states/eV/f.u. Its crystal system is orthorhombic.


An optimized crystal structure of CaZr2Pb. Source: Alexandria via LeMat-Bulk, functional PBE.

It has space group R-3m (No. 166, hexagonal axes), with a = 3.3190 Å, b = 3.3190 Å, c = 33.4800 Å, α = 90.00°, β = 90.00° and γ = 120.00°. The distinct sites, in fractional coordinates, are Ca at (0.0000, 0.0000, 0.0000), Zr at (0.0000, 0.0000, 0.2441) and Pb at (0.0000, 0.0000, 0.5000).

The energy relative to the elements is 0.1877 eV/atom. The density of states at the Fermi level comes out at 2.95 states/eV/f.u. Its crystal system is trigonal.


An optimized crystal structure of LaCe3. Source: Alexandria via LeMat-Bulk, functional PBE.

It has space group I4/mmm (No. 139), with a = 4.819 Å, b = 4.819 Å, c = 9.662 Å, α = 90.00°, β = 90.00° and γ = 90.00°. The distinct sites, in fractional coordinates, are La at (0.000, 0.000, 0.000), Ce at (0.000, 0.000, 0.500) and Ce at (0.000, 0.500, 0.250).

The energy relative to the elements is 0.0712 eV/atom. The density of states at the Fermi level comes out at 8.71 states/eV/f.u. Its crystal system is tetragonal.


An optimized crystal structure of TaTl2Sb. Source: Alexandria via LeMat-Bulk, functional PBE.

It has space group Amm2 (No. 38), with a = 5.034 Å, b = 3.256 Å, c = 11.838 Å, α = 90.00°, β = 90.00° and γ = 90.00°. The distinct sites, in fractional coordinates, are Ta at (0.000, 0.000, 0.000), Tl at (0.000, 0.000, 0.260), Tl at (0.500, 0.000, 0.606) and Sb at (0.500, 0.000, 0.875).

The density of states at the Fermi level comes out at 1.83 states/eV/f.u. Its crystal system is orthorhombic. Its energy relative to the elements, uncorrected is 0.440 eV/atom.


Copy entry 8 word for word.
An optimized crystal structure of La2Al2Sn. Source: Alexandria via LeMat-Bulk, functional PBE.

It has space group P4/mbm (No. 127), with a = 7.511 Å, b = 7.511 Å, c = 4.800 Å, α = 90.00°, β = 90.00° and γ = 90.00°. The distinct sites, in fractional coordinates, are La at (0.172, 0.328, 0.000), Al at (0.124, 0.624, 0.500) and Sn at (0.000, 0.000, 0.500).

The energy relative to the elements is -0.5193 eV/atom. The density of states at the Fermi level comes out at 2.92 states/eV/f.u. Its crystal system is tetragonal.